[1]
# CaNdPa2O8 | the Alexandria database | PBE-GGA | relaxed
# - Formation energy (no corrections): -3.357 eV/atom
data_CaNdPa2O8
_chemical_formula_sum 'Ca2 Nd2 Pa4 O16'
_cell_length_a 5.509
_cell_length_b 5.509
_cell_length_c 10.791
_cell_angle_alpha 90.00
_cell_angle_beta 90.00
_cell_angle_gamma 90.00
_space_group_name_H-M_alt 'I -4 m 2'
_space_group_IT_number 119
_space_group_name_Hall 'I -4 -2'
loop_
_atom_site_label
_atom_site_fract_x
_atom_site_fract_y
_atom_site_fract_z
Ca1 0.000 0.000 0.000
Nd1 0.000 0.500 0.250
Pa1 0.000 0.000 0.500
Pa2 0.000 0.500 0.750
O1 0.229 0.250 0.625


[2]
# CaNd2PbO6 | the Alexandria database | PBE-GGA | relaxed
# - Formation energy (no corrections): -2.538 eV/atom
data_CaNd2PbO6
_chemical_formula_sum 'Ca3 Nd6 Pb3 O18'
_cell_length_a 5.9583
_cell_length_b 5.9583
_cell_length_c 15.3831
_cell_angle_alpha 90.00
_cell_angle_beta 90.00
_cell_angle_gamma 120.00
_space_group_name_H-M_alt 'R 3'
_space_group_IT_number 146
_space_group_name_Hall 'R 3'
loop_
_atom_site_label
_atom_site_fract_x
_atom_site_fract_y
_atom_site_fract_z
Ca1 0.0000 0.0000 0.0000
Nd1 0.0000 0.0000 0.2774
Nd2 0.0000 0.0000 0.7770
Pb1 0.0000 0.0000 0.4939
O1 0.0507 0.3516 0.5590
O2 0.0571 0.6793 0.0617


[3]
# Ca3NdPb2O | the Alexandria database | PBE-GGA | relaxed
# - Formation energy (no corrections): -1.192 eV/atom
data_Ca3NdPb2O
_chemical_formula_sum 'Ca6 Nd2 Pb4 O2'
_cell_length_a 4.718
_cell_length_b 4.928
_cell_length_c 16.938
_cell_angle_alpha 90.00
_cell_angle_beta 90.00
_cell_angle_gamma 90.00
_space_group_name_H-M_alt 'I m m m'
_space_group_IT_number 71
_space_group_name_Hall '-I 2 2'
loop_
_atom_site_label
_atom_site_fract_x
_atom_site_fract_y
_atom_site_fract_z
Ca1 0.000 0.000 0.000
Ca2 0.000 0.500 0.331
Nd1 0.000 0.000 0.500
Pb1 0.000 0.500 0.137
O1 0.000 0.500 0.500


[4]
# CaNd2PdO5 | the Alexandria database | PBE-GGA | relaxed
# - Formation energy (no corrections): -2.490 eV/atom
data_CaNd2PdO5
_chemical_formula_sum 'Ca2 Nd4 Pd2 O10'
_cell_length_a 6.712
_cell_length_b 6.712
_cell_length_c 5.864
_cell_angle_alpha 90.00
_cell_angle_beta 90.00
_cell_angle_gamma 90.00
_space_group_name_H-M_alt 'P 4/m b m'
_space_group_IT_number 127
_space_group_name_Hall '-P 4 2ab'
loop_
_atom_site_label
_atom_site_fract_x
_atom_site_fract_y
_atom_site_fract_z
Ca1 0.000 0.000 0.000
Nd1 0.172 0.328 0.500
Pd1 0.000 0.500 0.000
O1 0.000 0.000 0.500
O2 0.146 0.646 0.245


Across the entries above, mass density takes the values 7.9; 6.7; 5.9; 6.5 g cm⁻³, respectively.